TlIrBr | GGA-PBE | relaxed

Summary:
Total moment = 0.0 μB per formula unit
Electronic total energy = -0.1343 hartree per atom
Crystal system = hexagonal
E above lowest polymorph = 17.10 kJ per mole of atoms
Space group = No. 187

a = 4.628 Å, b = 4.628 Å, c = 3.442 Å
α = 90.00°, β = 90.00°, γ = 120.00°
Atoms (fractional coordinates):
Ir 0.667 0.333 0.167
Tl 0.333 0.667 0.667
Br 0.000 0.000 0.167